(1)
Density functional theory data (PBE) for crystalline CeZrCu2 at its relaxed geometry.

abc: 3.308 3.308 7.156
angles: 90.00 90.00 90.00
Space group P4/mmm (No. 123)
Symmetry-distinct sites (fractional):
Ce: 0.000 0.000 0.000 x1
Zr: 0.000 0.000 0.500 x1
Cu: 0.500 0.500 0.289 x2

- Distance to the lowest polymorph of the same formula: 0.000 eV per atom

=====

(2)
Density functional theory data (PBE) for crystalline CeZrCu2 at its relaxed geometry.

abc: 6.815 6.815 6.815
angles: 90.00 90.00 90.00
Space group Fm-3m (No. 225)
Symmetry-distinct sites (fractional):
Ce: 0.000 0.000 0.000 x4
Zr: 0.000 0.000 0.500 x4
Cu: 0.250 0.250 0.250 x8

- Distance to the lowest polymorph of the same formula: 0.071 eV per atom

=====

(3)
Density functional theory data (PBE) for crystalline Ce2ZrCu6 at its relaxed geometry.

abc: 7.5544 7.5544 3.1516
angles: 90.00 90.00 120.00
Space group P6/mmm (No. 191)
Symmetry-distinct sites (fractional):
Ce: 0.3333 0.6667 0.0000 x2
Zr: 0.0000 0.0000 0.0000 x1
Cu: 0.0000 0.3284 0.5000 x6

=====

(4)
Density functional theory data (PBE) for crystalline CeZr2Cu9 at its relaxed geometry.

abc: 5.1069 5.1069 16.3290
angles: 90.00 90.00 120.00
Space group P6_3/mmc (No. 194)
Symmetry-distinct sites (fractional):
Ce: 0.3333 0.6667 0.2500 x2
Zr: 0.3333 0.6667 0.0314 x4
Cu: 0.0000 0.0000 0.0000 x2
Cu: 0.0000 0.0000 0.2500 x2
Cu: 0.1677 0.3353 0.6231 x12
Cu: 0.3333 0.6667 0.7500 x2

=====

(5)
Density functional theory data (PBE) for crystalline CeDy4 at its relaxed geometry.

abc: 7.905 7.905 5.032
angles: 90.00 90.00 90.00
Space group I4/m (No. 87)
Symmetry-distinct sites (fractional):
Ce: 0.000 0.000 0.000 x2
Dy: 0.100 0.703 0.500 x8

- Distance to the lowest polymorph of the same formula: 0.000 eV per atom

=====

(6)
Density functional theory data (PBE) for crystalline CeDy6 at its relaxed geometry.

abc: 8.073 8.073 8.073
angles: 90.00 90.00 90.00
Space group Im-3m (No. 229)
Symmetry-distinct sites (fractional):
Ce: 0.000 0.000 0.000 x2
Dy: 0.000 0.250 0.500 x12

=====

(7)
Density functional theory data (PBE) for crystalline Ce3Dy at its relaxed geometry.

abc: 4.839 4.839 4.839
angles: 90.00 90.00 90.00
Space group Pm-3m (No. 221)
Symmetry-distinct sites (fractional):
Ce: 0.000 0.000 0.500 x3
Dy: 0.500 0.500 0.500 x1

- Distance to the lowest polymorph of the same formula: 0.006 eV per atom

=====

(8)
Density functional theory data (PBE) for crystalline CeDy at its relaxed geometry.

abc: 3.981 3.981 3.981
angles: 90.00 90.00 90.00
Space group Pm-3m (No. 221)
Symmetry-distinct sites (fractional):
Ce: 0.000 0.000 0.000 x1
Dy: 0.500 0.500 0.500 x1

- Distance to the lowest polymorph of the same formula: 0.152 eV per atom

=====

(9)
Density functional theory data (PBE) for crystalline CeDy4 at its relaxed geometry.

abc: 5.521 5.521 5.521
angles: 90.00 90.00 90.00
Space group Pm-3m (No. 221)
Symmetry-distinct sites (fractional):
Ce: 0.000 0.000 0.000 x1
Dy: 0.000 0.000 0.500 x3
Dy: 0.500 0.500 0.500 x1

- Distance to the lowest polymorph of the same formula: 0.537 eV per atom

=====

(10)
Density functional theory data (PBE) for crystalline CeDy3 at its relaxed geometry.

abc: 4.991 4.991 4.991
angles: 90.00 90.00 90.00
Space group Pm-3m (No. 221)
Symmetry-distinct sites (fractional):
Ce: 0.000 0.000 0.000 x1
Dy: 0.000 0.500 0.500 x3

- Distance to the lowest polymorph of the same formula: 0.000 eV per atom

=====

(11)
Density functional theory data (PBE) for crystalline Ce3Dy at its relaxed geometry.

abc: 3.389 11.309 5.956
angles: 90.00 90.00 90.00
Space group Imm2 (No. 44)
Symmetry-distinct sites (fractional):
Ce: 0.000 0.000 0.000 x2
Ce: 0.000 0.261 0.375 x4
Dy: 0.000 0.500 0.998 x2

- Distance to the lowest polymorph of the same formula: 0.028 eV per atom

=====

(12)
Density functional theory data (PBE) for crystalline CeDy3 at its relaxed geometry.

abc: 3.579 11.376 6.193
angles: 90.00 90.00 90.00
Space group Imm2 (No. 44)
Symmetry-distinct sites (fractional):
Ce: 0.000 0.000 0.000 x2
Dy: 0.000 0.250 0.661 x4
Dy: 0.000 0.500 0.993 x2

- Distance to the lowest polymorph of the same formula: 0.004 eV per atom

=====

(13)
Density functional theory data (PBE) for crystalline CeDy3 at its relaxed geometry.

abc: 7.990 7.990 7.990
angles: 90.00 90.00 90.00
Space group Fm-3m (No. 225)
Symmetry-distinct sites (fractional):
Ce: 0.000 0.000 0.000 x4
Dy: 0.000 0.000 0.500 x4
Dy: 0.250 0.250 0.250 x8

- Distance to the lowest polymorph of the same formula: 0.115 eV per atom

=====

(14)
Density functional theory data (PBE) for crystalline CeDy3 at its relaxed geometry.

abc: 3.572 5.698 6.197
angles: 90.00 90.00 90.00
Space group Pmm2 (No. 25)
Symmetry-distinct sites (fractional):
Ce: 0.000 0.000 0.000 x1
Dy: 0.000 0.500 0.333 x1
Dy: 0.500 0.000 0.507 x1
Dy: 0.500 0.500 0.839 x1

- Distance to the lowest polymorph of the same formula: 0.009 eV per atom

=====

(15)
Density functional theory data (PBE) for crystalline CeDy at its relaxed geometry.

abc: 3.470 4.936 6.970
angles: 90.00 90.00 90.00
Space group Pmmn (No. 59, origin choice 2)
Symmetry-distinct sites (fractional):
Ce: 0.250 0.250 0.112 x2
Dy: 0.250 0.250 0.629 x2

- Distance to the lowest polymorph of the same formula: 0.000 eV per atom

=====

(16)
Density functional theory data (PBE) for crystalline Ce3Dy at its relaxed geometry.

abc: 4.801 4.801 9.765
angles: 90.00 90.00 90.00
Space group I4/mmm (No. 139)
Symmetry-distinct sites (fractional):
Ce: 0.000 0.000 0.000 x2
Ce: 0.000 0.500 0.250 x4
Dy: 0.000 0.000 0.500 x2

- Distance to the lowest polymorph of the same formula: 0.000 eV per atom

=====

(17)
Density functional theory data (PBE) for crystalline Ce6Dy at its relaxed geometry.

abc: 7.597 7.597 7.597
angles: 90.00 90.00 90.00
Space group Im-3m (No. 229)
Symmetry-distinct sites (fractional):
Ce: 0.000 0.250 0.500 x12
Dy: 0.000 0.000 0.000 x2

=====

(18)
Density functional theory data (PBE) for crystalline CeDy at its relaxed geometry.

abc: 12.063 4.152 5.500
angles: 90.00 117.09 90.00
Space group C2/m (No. 12)
Symmetry-distinct sites (fractional):
Ce: 0.169 0.000 0.420 x4
Dy: 0.113 0.500 0.864 x4

- Distance to the lowest polymorph of the same formula: 0.015 eV per atom

=====

(19)
Density functional theory data (PBE) for crystalline Ce3Dy at its relaxed geometry.

abc: 3.317 4.407 7.648
angles: 90.00 90.00 90.00
Space group Pmm2 (No. 25)
Symmetry-distinct sites (fractional):
Ce: 0.000 0.000 0.000 x1
Ce: 0.000 0.500 0.232 x1
Ce: 0.500 0.500 0.795 x1
Dy: 0.500 0.000 0.487 x1

- Distance to the lowest polymorph of the same formula: 0.141 eV per atom

=====

(20)
Density functional theory data (PBE) for crystalline Ce3Dy at its relaxed geometry.

abc: 7.892 7.892 7.892
angles: 90.00 90.00 90.00
Space group Fm-3m (No. 225)
Symmetry-distinct sites (fractional):
Ce: 0.000 0.000 0.000 x4
Ce: 0.250 0.250 0.250 x8
Dy: 0.000 0.000 0.500 x4

- Distance to the lowest polymorph of the same formula: 0.159 eV per atom

=====

Number 1: energy relative to the elements -0.22 eV per formula unit. Number 2: energy relative to the elements 0.07 eV per formula unit. Number 3: energy relative to the elements -1.13 eV per formula unit. Number 4: energy relative to the elements -1.10 eV per formula unit. Number 5: energy relative to the elements 0.34 eV per formula unit. Number 6: energy relative to the elements 9.98 eV per formula unit. Number 7: energy relative to the elements 0.42 eV per formula unit. Number 8: energy relative to the elements 0.47 eV per formula unit. Number 9: energy relative to the elements 3.02 eV per formula unit. Number 10: energy relative to the elements 0.26 eV per formula unit. Number 11: energy relative to the elements 0.51 eV per formula unit. Number 12: energy relative to the elements 0.28 eV per formula unit. Number 13: energy relative to the elements 0.72 eV per formula unit. Number 14: energy relative to the elements 0.30 eV per formula unit. Number 15: energy relative to the elements 0.16 eV per formula unit. Number 16: energy relative to the elements 0.40 eV per formula unit. Number 17: energy relative to the elements 4.65 eV per formula unit. Number 18: energy relative to the elements 0.19 eV per formula unit. Number 19: energy relative to the elements 0.96 eV per formula unit. Number 20: energy relative to the elements 1.03 eV per formula unit.